No. 1
AgIr2Os: optimized geometry, PBE.

Geometry as POSCAR:
```
AgIr2Os
1.0
4.839 -0.009 0.000
1.725 4.522 0.000
-3.282 -2.256 2.749
Ir Os Ag
2 1 1
Direct
0.000 0.000 0.000
0.250 0.750 0.500
0.500 0.500 0.000
0.750 0.250 0.500
```

Summary:
- Size of the total moment: 0.0 μB per cell
- Space-group type: No. 119
- E: -7.439 eV per atom
- Energy above the lowest structure with this stoichiometry: 329 meV/atom

No. 2
Ag2IrOs: optimized geometry, PBE.

Geometry as POSCAR:
```
Ag2IrOs
1.0
-2.059 -1.865 -4.223
0.125 -3.441 -3.701
-2.860 -3.308 1.972
Os Ag Ir
1 2 1
Direct
0.250 0.250 0.250
0.999 0.999 0.001
0.501 0.501 0.499
0.750 0.750 0.750
```

Summary:
- Size of the total moment: 0.0 μB per cell
- Space-group type: No. 12
- E: -5.894 eV per atom
- Energy above the lowest structure with this stoichiometry: 271 meV/atom

No. 3
Ag2IrOs: optimized geometry, PBE.

Geometry as POSCAR:
```
Ag2IrOs
1.0
-3.287 -9.159 -0.953
-2.847 -8.627 -3.617
-0.784 -9.531 -2.035
Ag Ir Os
2 1 1
Direct
0.000 0.000 0.000
0.500 0.500 0.500
0.250 0.250 0.250
0.750 0.750 0.750
```

Summary:
- Size of the total moment: 0.2 μB per cell
- Space-group type: No. 166
- E: -5.919 eV per atom
- Energy above the lowest structure with this stoichiometry: 245 meV/atom